1.
The following is a DFT calculation (PBE) of a relaxed RbHfIn2Br8 crystal.

Its raw formation energy is -1111.7 meV/atom.

The structure belongs to space group P-1 (No. 2); the cell edges are 6.823, 7.284 and 9.392 Å and the angles 89.94°, 89.69° and 88.23°. The distinct sites, in fractional coordinates, are Rb at (0.000, 0.000, 0.000), Hf at (0.000, 0.000, 0.500), In at (0.499, 0.500, 0.245), Br at (0.209, 0.296, 0.501), Br at (0.233, 0.857, 0.697), Br at (0.235, 0.859, 0.302) and Br at (0.285, 0.371, 0.001).

2.
The following is a DFT calculation (PBE) of a relaxed HfIn2RuBr crystal.

Its raw formation energy is 1406.4 meV/atom.

The structure belongs to space group P4/mmm (No. 123); the cell edges are 5.251, 5.251 and 4.858 Å and the angles 90.00°, 90.00° and 90.00°. The distinct sites, in fractional coordinates, are Hf at (0.000, 0.000, 0.000), In at (0.000, 0.500, 0.500), Ru at (0.500, 0.500, 0.000) and Br at (0.000, 0.000, 0.500).

3.
The following is a DFT calculation (PBE) of a relaxed HfInSe2Br crystal.

Its raw formation energy is -818.4 meV/atom. As for the energy above the most stable polymorph in this dataset: 0.00 eV/f.u.

The structure belongs to space group P4/mmm (No. 123); the cell edges are 5.215, 5.215 and 5.371 Å and the angles 90.00°, 90.00° and 90.00°. The distinct sites, in fractional coordinates, are Hf at (0.000, 0.000, 0.000), In at (0.500, 0.500, 0.500), Se at (0.000, 0.500, 0.000) and Br at (0.000, 0.000, 0.500).

4.
The following is a DFT calculation (PBE) of a relaxed HfInSeBr2 crystal.

Its raw formation energy is -623.7 meV/atom. As for the energy above the most stable polymorph in this dataset: 0.00 eV/f.u.

The structure belongs to space group P4/mmm (No. 123); the cell edges are 5.653, 5.653 and 5.576 Å and the angles 90.00°, 90.00° and 90.00°. The distinct sites, in fractional coordinates, are Hf at (0.000, 0.000, 0.000), In at (0.500, 0.500, 0.500), Se at (0.000, 0.000, 0.500) and Br at (0.000, 0.500, 0.000).

5.
The following is a DFT calculation (PBE) of a relaxed HfInSe2Br crystal.

Its raw formation energy is 402.2 meV/atom. As for the energy above the most stable polymorph in this dataset: 6.10 eV/f.u.

The structure belongs to space group P4/mmm (No. 123); the cell edges are 5.239, 5.239 and 5.167 Å and the angles 90.00°, 90.00° and 90.00°. The distinct sites, in fractional coordinates, are Hf at (0.000, 0.000, 0.000), In at (0.500, 0.500, 0.500), Se at (0.000, 0.500, 0.500) and Br at (0.500, 0.500, 0.000).

6.
The following is a DFT calculation (PBE) of a relaxed HfInSeBr2 crystal.

Its raw formation energy is 417.4 meV/atom. As for the energy above the most stable polymorph in this dataset: 5.21 eV/f.u.

The structure belongs to space group P4/mmm (No. 123); the cell edges are 5.445, 5.445 and 5.565 Å and the angles 90.00°, 90.00° and 90.00°. The distinct sites, in fractional coordinates, are Hf at (0.000, 0.000, 0.000), In at (0.500, 0.500, 0.500), Se at (0.500, 0.500, 0.000) and Br at (0.000, 0.500, 0.500).